No. 1
GGA-PBE Cu4Ni5, optimized geometry; formation energy = 0.136 eV/atom; spin magnetization = 3.59 μB/cell; SG = No. 193; V = 11.5 A^3/atom; VASP energy = -4.896 eV per atom
1.0
7.0098 0.0000 0.0000
3.5049 6.0707 0.0000
0.0000 0.0000 4.8540
Ni Cu
10 8
direct
0.3357 0.6643 0.2500
0.6643 0.0000 0.2500
0.6667 0.6667 0.5000
0.6667 0.6667 0.0000
0.6643 0.3357 0.7500
0.3357 0.0000 0.7500
0.3333 0.3333 0.0000
0.0000 0.3357 0.2500
0.3333 0.3333 0.5000
0.0000 0.6643 0.7500
0.3331 0.6669 0.7500
0.6669 0.0000 0.7500
0.0000 0.0000 0.5000
0.3331 0.0000 0.2500
0.0000 0.6669 0.2500
0.0000 0.3331 0.7500
0.0000 0.0000 0.0000
0.6669 0.3331 0.2500

No. 2
GGA-PBE CuNi3, optimized geometry; formation energy = 0.031 eV/atom; spin magnetization = 1.45 μB/cell; SG = No. 139; V = 11.1 A^3/atom; VASP energy = -5.329 eV per atom
1.0
3.5475 0.0000 0.0000
-1.7737 3.9450 0.0085
0.0000 1.5882 3.1721
Ni Cu
3 1
direct
0.7500 0.5000 0.7500
0.2500 0.5000 0.2500
0.5000 0.0000 0.5000
0.0000 0.0000 0.0000

No. 3
GGA-PBE Cu2Ni, optimized geometry; formation energy = 0.021 eV/atom; spin magnetization = 0.00 μB/cell; SG = No. 71; V = 11.5 A^3/atom; VASP energy = -4.637 eV per atom
1.0
2.5231 0.0000 0.0000
0.0000 3.5989 0.0000
-1.2615 -1.7994 3.7970
Cu Ni
2 1
direct
0.3346 0.3346 0.6692
0.6654 0.6654 0.3308
0.0000 0.0000 0.0000

No. 4
GGA-PBE CuNi5, optimized geometry; formation energy = 0.089 eV/atom; spin magnetization = 2.52 μB/cell; SG = No. 65; V = 11.1 A^3/atom; VASP energy = -5.412 eV per atom
1.0
2.5605 0.0000 0.0000
0.0000 4.1665 0.0000
0.0000 -2.0832 6.2499
Ni Cu
5 1
direct
0.0000 0.6647 0.3295
0.5000 0.1700 0.3400
0.5000 0.5000 0.0000
0.0000 0.3353 0.6705
0.5000 0.8300 0.6600
0.0000 0.0000 0.0000